## Tm2Ru2O7 (PBE)

Data for a relaxed Tm2Ru2O7 crystal.

Calculated values
The value obtained for the raw formation energy is -209.6 kJ per mole of atoms. Its theoretical density is 8.27 Mg/m³. The calculation puts the total magnetization at 0.37 μB per atom. Its space-group type is Fd-3m, No. 227.

Unit cell a=7.180 b=7.180 c=7.180 alpha=60.00 beta=60.00 gamma=60.00
Fractional coordinates of all 22 atoms:
1 Ru 0.625 0.625 0.625
2 O 0.250 0.250 0.250
3 O 0.965 0.965 0.535
4 O 0.535 0.965 0.965
5 O 0.715 0.285 0.285
6 O 0.285 0.715 0.285
7 O 0.285 0.285 0.715
8 O 0.715 0.715 0.285
9 Ru 0.625 0.625 0.125
10 O 0.535 0.535 0.965
11 Tm 0.625 0.125 0.125
12 Tm 0.125 0.125 0.625
13 Ru 0.125 0.625 0.625
14 Tm 0.125 0.625 0.125
15 Ru 0.625 0.125 0.625
16 O 0.000 0.000 0.000
17 O 0.715 0.285 0.715
18 Tm 0.125 0.125 0.125
19 O 0.285 0.715 0.715
20 O 0.965 0.535 0.535
21 O 0.535 0.965 0.535
22 O 0.965 0.535 0.965